DFT (GGA+U) results for crystalline Rb2MgMnO4 at its relaxed geometry.

Calculated values
theoretical density: 3.13 g/cm³
E_tot: -5.435 eV/atom
SG: No. 70

Cell and atoms, written as CIF:
```
data_Rb2MgMnO4
_cell_length_a 5.320
_cell_length_b 6.620
_cell_length_c 10.688
_cell_angle_alpha 84.26
_cell_angle_beta 75.59
_cell_angle_gamma 66.31
_space_group_name_H-M_alt 'P 1'
_space_group_IT_number 1
loop_
_space_group_symop_operation_xyz
'x,y,z'
loop_
_atom_site_label
_atom_site_type_symbol
_atom_site_fract_x
_atom_site_fract_y
_atom_site_fract_z
Rb1 Rb 0.177 0.000 0.646
Mg1 Mg 0.750 0.500 0.500
O1 O 0.226 0.166 0.915
O2 O 0.891 0.666 0.585
O3 O 0.524 0.334 0.585
O4 O 0.608 0.166 0.085
Rb2 Rb 0.823 0.000 0.354
O5 O 0.443 0.666 0.415
Rb3 Rb 0.927 0.500 0.146
Mn1 Mn 0.500 0.000 0.000
O6 O 0.142 0.334 0.415
Mn2 Mn 0.250 0.500 0.500
Mg2 Mg 0.000 0.000 0.000
Rb4 Rb 0.573 0.500 0.854
O7 O 0.307 0.834 0.085
O8 O 0.859 0.834 0.915
```